4
Lattice="0.000 3.500 3.500 3.500 0.000 3.500 3.500 3.500 0.000" Properties=species:S:1:pos:R:3 comment="Y2CdOs (PBE, optimized geometry)" formation_energy_ev_per_atom=0.12 n_ef_per_ev_atom=1.215 pbc="T T T"
Y 0.000 0.000 0.000
Y 1.750 1.750 1.750
Cd 5.251 5.251 5.251
Os 3.500 3.500 3.500